Entry 1:
# PBE CaBRh2, optimized geometry
# Formation energy from the elements = -0.3616 eV per atom
# Calculated volume = 15.9 A^3/atom
# Calculated density = 6.72 Mg/m³
data_CaBRh2
_cell_length_a 6.825
_cell_length_b 6.825
_cell_length_c 5.542
_cell_angle_alpha 51.99
_cell_angle_beta 51.99
_cell_angle_gamma 90.00
_symmetry_space_group_name_H-M 'P 1'
_symmetry_Int_Tables_number 1
loop_
_symmetry_equiv_pos_as_xyz
'x,y,z'
loop_
_atom_site_label
_atom_site_type_symbol
_atom_site_fract_x
_atom_site_fract_y
_atom_site_fract_z
Ca1 Ca 0.000 0.000 0.000
Ca2 Ca 0.750 0.250 0.500
Rh1 Rh 0.513 0.125 0.250
Rh2 Rh 0.237 0.625 0.250
Rh3 Rh 0.875 0.763 0.750
Rh4 Rh 0.375 0.487 0.750
B1 B 0.250 0.750 0.500
B2 B 0.500 0.500 0.000

***

Entry 2:
# PBE Ca3B6Rh8, optimized geometry
# Formation energy from the elements = -0.6314 eV per atom
# Calculated volume = 13.7 A^3/atom
# Calculated density = 7.20 Mg/m³
data_Ca3B6Rh8
_cell_length_a 9.854
_cell_length_b 8.986
_cell_length_c 5.633
_cell_angle_alpha 81.26
_cell_angle_beta 64.34
_cell_angle_gamma 34.40
_symmetry_space_group_name_H-M 'P 1'
_symmetry_Int_Tables_number 1
loop_
_symmetry_equiv_pos_as_xyz
'x,y,z'
loop_
_atom_site_label
_atom_site_type_symbol
_atom_site_fract_x
_atom_site_fract_y
_atom_site_fract_z
Rh1 Rh 0.085 0.085 0.415
Rh2 Rh 0.913 0.913 0.087
Rh3 Rh 0.585 0.585 0.915
Rh4 Rh 0.750 0.750 0.750
Rh5 Rh 0.250 0.250 0.250
Rh6 Rh 0.415 0.415 0.085
Rh7 Rh 0.087 0.087 0.913
Rh8 Rh 0.915 0.915 0.585
B1 B 0.989 0.669 0.331
B2 B 0.011 0.331 0.669
B3 B 0.167 0.833 0.167
B4 B 0.833 0.167 0.833
B5 B 0.669 0.989 0.011
B6 B 0.331 0.011 0.989
Ca1 Ca 0.500 0.500 0.500
Ca2 Ca 0.318 0.318 0.682
Ca3 Ca 0.682 0.682 0.318

***

Entry 3:
# PBE CaB4Rh6, optimized geometry
# Formation energy from the elements = -0.2488 eV per atom
# Calculated volume = 12.1 A^3/atom
# Calculated density = 8.72 Mg/m³
data_CaB4Rh6
_cell_length_a 5.708
_cell_length_b 5.708
_cell_length_c 5.747
_cell_angle_alpha 60.29
_cell_angle_beta 60.29
_cell_angle_gamma 90.03
_symmetry_space_group_name_H-M 'P 1'
_symmetry_Int_Tables_number 1
loop_
_symmetry_equiv_pos_as_xyz
'x,y,z'
loop_
_atom_site_label
_atom_site_type_symbol
_atom_site_fract_x
_atom_site_fract_y
_atom_site_fract_z
B1 B 0.730 0.730 0.849
B2 B 0.419 0.419 0.852
B3 B 0.581 0.271 0.149
B4 B 0.271 0.581 0.149
Rh1 Rh 0.999 0.500 0.000
Rh2 Rh 0.469 0.469 0.420
Rh3 Rh 0.531 0.887 0.581
Rh4 Rh 0.887 0.531 0.581
Rh5 Rh 0.500 0.999 0.000
Rh6 Rh 0.113 0.113 0.418
Ca1 Ca 0.000 0.000 0.000

***

Entry 4:
# PBE CaBRh4, optimized geometry
# Formation energy from the elements = -0.2675 eV per atom
# Calculated volume = 15.1 A^3/atom
# Calculated density = 8.47 Mg/m³
data_CaBRh4
_cell_length_a 4.304
_cell_length_b 5.885
_cell_length_c 7.478
_cell_angle_alpha 90.00
_cell_angle_beta 106.72
_cell_angle_gamma 90.00
_symmetry_space_group_name_H-M 'P 1'
_symmetry_Int_Tables_number 1
loop_
_symmetry_equiv_pos_as_xyz
'x,y,z'
loop_
_atom_site_label
_atom_site_type_symbol
_atom_site_fract_x
_atom_site_fract_y
_atom_site_fract_z
B1 B 0.896 0.250 0.791
B2 B 0.104 0.750 0.209
Rh1 Rh 0.618 0.750 0.236
Rh2 Rh 0.000 0.500 0.000
Rh3 Rh 0.382 0.250 0.764
Rh4 Rh 0.200 0.006 0.401
Rh5 Rh 0.800 0.994 0.599
Rh6 Rh 0.200 0.494 0.401
Rh7 Rh 0.800 0.506 0.599
Rh8 Rh 0.000 0.000 0.000
Ca1 Ca 0.595 0.250 0.191
Ca2 Ca 0.405 0.750 0.809

***

Entry 5:
# PBE Ca2B4Rh5, optimized geometry
# Formation energy from the elements = -0.6188 eV per atom
# Calculated volume = 13.9 A^3/atom
# Calculated density = 6.92 Mg/m³
data_Ca2B4Rh5
_cell_length_a 5.521
_cell_length_b 5.644
_cell_length_c 6.275
_cell_angle_alpha 77.53
_cell_angle_beta 63.81
_cell_angle_gamma 60.71
_symmetry_space_group_name_H-M 'P 1'
_symmetry_Int_Tables_number 1
loop_
_symmetry_equiv_pos_as_xyz
'x,y,z'
loop_
_atom_site_label
_atom_site_type_symbol
_atom_site_fract_x
_atom_site_fract_y
_atom_site_fract_z
Rh1 Rh 0.500 0.000 0.000
Rh2 Rh 0.250 0.500 0.500
Rh3 Rh 0.500 0.500 0.000
Rh4 Rh 0.750 0.500 0.500
Rh5 Rh 0.000 0.500 0.000
B1 B 0.792 0.677 0.740
B2 B 0.468 0.323 0.740
B3 B 0.208 0.323 0.260
B4 B 0.532 0.677 0.260
Ca1 Ca 0.143 0.000 0.714
Ca2 Ca 0.857 0.000 0.286

***

Entry 6:
# PBE CaBRh2, optimized geometry
# Formation energy from the elements = 0.0109 eV per atom
# Calculated volume = 17.3 A^3/atom
# Calculated density = 6.17 Mg/m³
data_CaBRh2
_cell_length_a 3.255
_cell_length_b 3.255
_cell_length_c 7.758
_cell_angle_alpha 77.89
_cell_angle_beta 77.89
_cell_angle_gamma 60.00
_symmetry_space_group_name_H-M 'P 1'
_symmetry_Int_Tables_number 1
loop_
_symmetry_equiv_pos_as_xyz
'x,y,z'
loop_
_atom_site_label
_atom_site_type_symbol
_atom_site_fract_x
_atom_site_fract_y
_atom_site_fract_z
B1 B 0.500 0.500 0.500
Ca1 Ca 0.000 0.000 0.000
Rh1 Rh 0.879 0.879 0.363
Rh2 Rh 0.121 0.121 0.637

***

Entry 7:
# PBE CaB4Rh4, optimized geometry
# Formation energy from the elements = -0.5107 eV per atom
# Calculated volume = 12.6 A^3/atom
# Calculated density = 7.24 Mg/m³
data_CaB4Rh4
_cell_length_a 4.070
_cell_length_b 7.470
_cell_length_c 7.470
_cell_angle_alpha 90.00
_cell_angle_beta 90.00
_cell_angle_gamma 90.00
_symmetry_space_group_name_H-M 'P 1'
_symmetry_Int_Tables_number 1
loop_
_symmetry_equiv_pos_as_xyz
'x,y,z'
loop_
_atom_site_label
_atom_site_type_symbol
_atom_site_fract_x
_atom_site_fract_y
_atom_site_fract_z
B1 B 0.890 0.664 0.205
B2 B 0.890 0.336 0.795
B3 B 0.110 0.205 0.336
B4 B 0.110 0.795 0.664
B5 B 0.390 0.705 0.836
B6 B 0.390 0.295 0.164
B7 B 0.610 0.836 0.295
B8 B 0.610 0.164 0.705
Rh1 Rh 0.111 0.851 0.384
Rh2 Rh 0.611 0.116 0.351
Rh3 Rh 0.611 0.884 0.649
Rh4 Rh 0.889 0.616 0.851
Rh5 Rh 0.389 0.351 0.884
Rh6 Rh 0.389 0.649 0.116
Rh7 Rh 0.889 0.384 0.149
Rh8 Rh 0.111 0.149 0.616
Ca1 Ca 0.000 0.000 0.000
Ca2 Ca 0.500 0.500 0.500

***

Entry 8:
# PBE CaB2RuRh, optimized geometry
# Formation energy from the elements = -0.4634 eV per atom
# Calculated volume = 15.5 A^3/atom
# Calculated density = 5.69 Mg/m³
data_CaB2RuRh
_cell_length_a 3.978
_cell_length_b 3.978
_cell_length_c 5.649
_cell_angle_alpha 110.62
_cell_angle_beta 110.62
_cell_angle_gamma 90.00
_symmetry_space_group_name_H-M 'P 1'
_symmetry_Int_Tables_number 1
loop_
_symmetry_equiv_pos_as_xyz
'x,y,z'
loop_
_atom_site_label
_atom_site_type_symbol
_atom_site_fract_x
_atom_site_fract_y
_atom_site_fract_z
B1 B 0.682 0.682 0.363
B2 B 0.318 0.318 0.637
Ca1 Ca 0.000 0.000 0.000
Ru1 Ru 0.250 0.750 0.500
Rh1 Rh 0.750 0.250 0.500

***

Entry 9:
# PBE CaBRuRh2, optimized geometry
# Formation energy from the elements = -0.2496 eV per atom
# Calculated volume = 14.9 A^3/atom
# Calculated density = 7.97 Mg/m³
data_CaBRuRh2
_cell_length_a 4.205
_cell_length_b 4.205
_cell_length_c 4.217
_cell_angle_alpha 90.00
_cell_angle_beta 90.00
_cell_angle_gamma 90.00
_symmetry_space_group_name_H-M 'P 1'
_symmetry_Int_Tables_number 1
loop_
_symmetry_equiv_pos_as_xyz
'x,y,z'
loop_
_atom_site_label
_atom_site_type_symbol
_atom_site_fract_x
_atom_site_fract_y
_atom_site_fract_z
Ca1 Ca 0.500 0.500 0.500
Ru1 Ru 0.000 0.000 0.500
Rh1 Rh 0.500 0.000 0.000
Rh2 Rh 0.000 0.500 0.000
B1 B 0.000 0.000 0.000

***

Entry 10:
# PBE CaB2SbRh, optimized geometry
# Calculated volume = 21.0 A^3/atom
# Calculated density = 4.53 Mg/m³
# Formation energy from raw total energies = 2.001 eV per atom
data_CaB2SbRh
_cell_length_a 4.630
_cell_length_b 4.899
_cell_length_c 4.630
_cell_angle_alpha 90.00
_cell_angle_beta 90.00
_cell_angle_gamma 90.00
_symmetry_space_group_name_H-M 'P 1'
_symmetry_Int_Tables_number 1
loop_
_symmetry_equiv_pos_as_xyz
'x,y,z'
loop_
_atom_site_label
_atom_site_type_symbol
_atom_site_fract_x
_atom_site_fract_y
_atom_site_fract_z
B1 B 0.000 0.000 0.500
B2 B 0.500 0.000 0.000
Sb1 Sb 0.500 0.500 0.500
Ca1 Ca 0.000 0.000 0.000
Rh1 Rh 0.000 0.500 0.000

***

Entry 11:
# PBE Ca2B2SbRh5, optimized geometry
# Calculated volume = 14.9 A^3/atom
# Calculated density = 8.21 Mg/m³
# Formation energy from raw total energies = -0.604 eV per atom
data_Ca2B2SbRh5
_cell_length_a 3.122
_cell_length_b 9.777
_cell_length_c 9.777
_cell_angle_alpha 90.00
_cell_angle_beta 90.00
_cell_angle_gamma 90.00
_symmetry_space_group_name_H-M 'P 1'
_symmetry_Int_Tables_number 1
loop_
_symmetry_equiv_pos_as_xyz
'x,y,z'
loop_
_atom_site_label
_atom_site_type_symbol
_atom_site_fract_x
_atom_site_fract_y
_atom_site_fract_z
Rh1 Rh 0.500 0.430 0.274
Rh2 Rh 0.500 0.070 0.774
Rh3 Rh 0.500 0.274 0.570
Rh4 Rh 0.500 0.000 0.500
Rh5 Rh 0.500 0.774 0.930
Rh6 Rh 0.500 0.726 0.430
Rh7 Rh 0.500 0.500 0.000
Rh8 Rh 0.500 0.570 0.726
Rh9 Rh 0.500 0.226 0.070
Rh10 Rh 0.500 0.930 0.226
Ca1 Ca 0.000 0.324 0.824
Ca2 Ca 0.000 0.176 0.324
Ca3 Ca 0.000 0.676 0.176
Ca4 Ca 0.000 0.824 0.676
B1 B 0.000 0.880 0.380
B2 B 0.000 0.120 0.620
B3 B 0.000 0.620 0.880
B4 B 0.000 0.380 0.120
Sb1 Sb 0.000 0.000 0.000
Sb2 Sb 0.000 0.500 0.500

***

Entry 12:
# PBE CaScBRh2, optimized geometry
# Formation energy from the elements = 0.5713 eV per atom
# Calculated volume = 20.6 A^3/atom
# Calculated density = 4.86 Mg/m³
data_CaScBRh2
_cell_length_a 4.715
_cell_length_b 4.633
_cell_length_c 4.715
_cell_angle_alpha 90.00
_cell_angle_beta 90.00
_cell_angle_gamma 90.00
_symmetry_space_group_name_H-M 'P 1'
_symmetry_Int_Tables_number 1
loop_
_symmetry_equiv_pos_as_xyz
'x,y,z'
loop_
_atom_site_label
_atom_site_type_symbol
_atom_site_fract_x
_atom_site_fract_y
_atom_site_fract_z
Rh1 Rh 0.500 0.000 0.000
Rh2 Rh 0.000 0.000 0.500
B1 B 0.000 0.500 0.000
Sc1 Sc 0.000 0.000 0.000
Ca1 Ca 0.500 0.500 0.500

***

What did the fifth record say?
# PBE Ca2B4Rh5, optimized geometry
# Formation energy from the elements = -0.6188 eV per atom
# Calculated volume = 13.9 A^3/atom
# Calculated density = 6.92 Mg/m³
data_Ca2B4Rh5
_cell_length_a 5.521
_cell_length_b 5.644
_cell_length_c 6.275
_cell_angle_alpha 77.53
_cell_angle_beta 63.81
_cell_angle_gamma 60.71
_symmetry_space_group_name_H-M 'P 1'
_symmetry_Int_Tables_number 1
loop_
_symmetry_equiv_pos_as_xyz
'x,y,z'
loop_
_atom_site_label
_atom_site_type_symbol
_atom_site_fract_x
_atom_site_fract_y
_atom_site_fract_z
Rh1 Rh 0.500 0.000 0.000
Rh2 Rh 0.250 0.500 0.500
Rh3 Rh 0.500 0.500 0.000
Rh4 Rh 0.750 0.500 0.500
Rh5 Rh 0.000 0.500 0.000
B1 B 0.792 0.677 0.740
B2 B 0.468 0.323 0.740
B3 B 0.208 0.323 0.260
B4 B 0.532 0.677 0.260
Ca1 Ca 0.143 0.000 0.714
Ca2 Ca 0.857 0.000 0.286

***

Q: What is the formula in the fifth record?
A: Ca2B4Rh5

***

Q: Which of these has the highest calculated density?
A: CaB4Rh6